Density functional theory data (GGA-PBE) for Zr2NiC after structural relaxation.

POSCAR file:
```
Zr2NiC
1.0
3.320 0.000 0.000
1.660 2.875 0.000
1.660 0.958 6.524
Zr C Ni
2 1 1
Direct
0.234 0.234 0.299
0.766 0.766 0.701
0.500 0.500 0.500
0.000 0.000 0.000
```

Calculated values
The spin magnetization comes out at 0.00 μB per formula unit. For the final energy, the calculation gives -8.4576 eV per atom. As for the symmetry: R-3m.

=====

Density functional theory data (GGA-PBE) for Zr3NiC after structural relaxation.

POSCAR file:
```
Zr3NiC
1.0
-1.281 -2.391 -3.707
4.287 -2.765 -2.544
0.940 -7.808 1.865
Ni C Zr
2 2 6
Direct
0.587 0.240 0.586
0.413 0.760 0.414
0.131 0.657 0.080
0.869 0.343 0.920
0.904 0.986 0.205
0.360 0.356 0.923
0.096 0.014 0.795
0.839 0.695 0.628
0.640 0.644 0.077
0.161 0.305 0.372
```

Calculated values
Its energy above the lowest structure with this stoichiometry is 121 meV/atom. The spin magnetization comes out at 0.00 μB per formula unit. For the final energy, the calculation gives -8.5430 eV per atom. As for the symmetry: C2/m.

=====

Density functional theory data (GGA-PBE) for Zr4NiC after structural relaxation.

POSCAR file:
```
Zr4NiC
1.0
-2.642 1.157 -5.596
0.892 -5.629 -1.585
-4.916 -1.653 3.105
Zr C Ni
8 2 2
Direct
0.613 0.149 0.837
0.699 0.667 0.617
0.801 0.167 0.383
0.113 0.351 0.837
0.199 0.833 0.617
0.387 0.851 0.163
0.301 0.333 0.383
0.887 0.649 0.163
0.000 0.500 0.500
0.500 0.000 0.500
0.000 0.000 0.000
0.500 0.500 0.000
```

Calculated values
The spin magnetization comes out at 0.00 μB per formula unit. For the final energy, the calculation gives -8.4650 eV per atom. As for the symmetry: P2_1/c.